# Th4GeAsP2

An optimized crystal structure of Th4GeAsP2 (PBE, Alexandria).

POSCAR file:
```
Th4GeAsP2
1.0
4.2080 0.0000 0.0000
0.0000 7.2988 -0.1510
0.0000 2.5629 6.8284
Th Ge As P
4 1 1 2
Cartesian
2.1040 6.1767 1.5802
2.1040 3.6850 5.0972
4.2080 2.4032 1.7018
0.0001 7.4585 4.9756
0.0000 4.9308 3.3387
2.1041 6.2123 6.7529
2.1040 1.2815 3.4142
0.0000 2.5629 6.8284
```

energy relative to the elements = -1017 kJ/mol of formula units
E = -60.3 eV per cell



# Th6Ge3As2P

An optimized crystal structure of Th6Ge3As2P (PBE, Alexandria).

POSCAR file:
```
Th6Ge3As2P
1.0
-3.9803 1.4444 -0.5532
-3.0502 -6.8821 3.9778
3.2207 5.3269 7.2161
Th Ge P As
6 3 1 2
Cartesian
-1.5086 5.0742 7.6211
-1.8309 2.1576 2.3250
-2.3012 -5.1851 3.0195
-1.9790 -2.2685 8.3156
-0.4426 1.1888 6.2880
-3.3673 -1.2996 4.3527
-2.1307 -3.7090 5.6466
-1.6791 3.5982 4.9940
-3.5153 -2.7189 1.7123
-1.9902 0.7222 -0.2766
-3.2021 0.1704 7.0024
-0.6077 -0.2813 3.6383
```

energy relative to the elements = -1289 kJ/mol of formula units
E = -86.4 eV per cell



# Th6Ge2AsP3

An optimized crystal structure of Th6Ge2AsP3 (PBE, Alexandria).

POSCAR file:
```
Th6Ge2AsP3
1.0
4.2174 0.0000 0.0000
0.0000 8.4233 0.3079
-2.1087 -2.4227 8.8660
As Th P Ge
1 6 3 2
Cartesian
2.1087 0.0000 0.0000
0.0000 1.8556 6.0611
2.1087 -0.1493 3.0247
2.1087 4.1451 3.1128
2.1087 -0.2549 8.9124
0.0000 6.1500 6.1492
0.0000 6.2556 0.2615
0.0000 6.2158 3.2024
2.1087 4.2117 0.1539
2.1087 -0.2151 5.9715
0.0000 1.9922 3.0422
2.1087 4.0085 6.1317
```

energy relative to the elements = -1463 kJ/mol of formula units
E = -89.8 eV per cell



# Th6GeAs2P3

An optimized crystal structure of Th6GeAs2P3 (PBE, Alexandria).

POSCAR file:
```
Th6GeAs2P3
1.0
-1.3573 1.9365 -3.4705
3.7406 -5.8796 -4.7437
-7.7230 -4.3841 3.1152
Th Ge P As
6 1 3 2
Cartesian
-8.0912 -3.9282 -1.5683
-2.1156 -7.7006 -3.4694
-1.2202 -3.6176 -4.0823
-3.2241 -0.6266 -1.6296
2.7515 -4.3990 -3.5307
-4.1195 -4.7096 -1.0167
-0.6787 0.9683 -1.7353
-5.6483 -2.2918 -1.6107
0.3086 -6.0354 -3.4884
1.1916 -1.9716 -4.1071
-1.5636 -3.1091 -1.1233
-3.7761 -5.2181 -3.9757
```

energy relative to the elements = -1589 kJ/mol of formula units
E = -91.1 eV per cell



# Th6Ge2As3P

An optimized crystal structure of Th6Ge2As3P (PBE, Alexandria).

POSCAR file:
```
Th6Ge2As3P
1.0
-1.8217 2.0543 -3.2470
3.3971 -5.5922 -5.4438
-7.2630 -4.8472 3.7925
Th As Ge P
6 3 2 1
Cartesian
0.8215 -1.3536 -1.3173
-2.3833 -7.7005 -3.5347
-1.6701 -3.5038 -4.0640
-4.0175 -4.8814 -0.8343
-6.5091 -7.0316 -3.5811
-3.3043 -0.6847 -1.3637
0.7877 -1.7690 -4.3454
0.0917 -5.9405 -3.8097
-5.7793 -2.4447 -1.0886
-4.1032 -5.2602 -3.8102
-1.5844 -3.1250 -1.0882
-0.9108 1.0271 -1.6235
```

energy relative to the elements = -1414 kJ/mol of formula units
E = -87.8 eV per cell



# TlGe2AsP

An optimized crystal structure of TlGe2AsP (PBE, Alexandria).

POSCAR file:
```
TlGe2AsP
1.0
-2.1939 0.0894 4.3631
4.3429 -1.6661 2.2178
1.4492 4.6213 0.6340
As Ge Tl P
1 2 1 1
Cartesian
1.7991 1.5223 3.6075
0.7246 2.3106 0.3170
-1.0969 0.0447 2.1816
2.1714 -0.8331 1.1089
0.0000 0.0000 0.0000
```

energy relative to the elements = 303 kJ/mol of formula units
E = -18.5 eV per cell